# 1
# La2LuI

A relaxed structure of La2LuI (PBE-GGA, Alexandria).

The structure in CIF format:
```
data_La2LuI
_symmetry_space_group_name_H-M 'R -3 m'
_symmetry_Int_Tables_number 166
_symmetry_space_group_name_Hall '-R 3 2"'
_cell_length_a 3.6602
_cell_length_b 3.6602
_cell_length_c 35.7335
_cell_angle_alpha 90.00
_cell_angle_beta 90.00
_cell_angle_gamma 120.00
loop_
_atom_site_label
_atom_site_type_symbol
_atom_site_fract_x
_atom_site_fract_y
_atom_site_fract_z
La1 La 0.0000 0.0000 0.0936
Lu1 Lu 0.0000 0.0000 0.0000
I1 I 0.0000 0.0000 0.5000
```

Summary:
For the total magnetization, the calculation gives 0.0 μB per formula unit. As for the crystal system: trigonal. As for the distance to the lowest polymorph of the same formula: 189.2 meV per atom. As for the energy: -16.7 eV/f.u. The uncorrected formation energy is -0.187 eV per atom.

=====

# 2
# Mn3ReNi

A relaxed structure of Mn3ReNi (PBE-GGA, Alexandria).

The structure in CIF format:
```
data_Mn3ReNi
_symmetry_space_group_name_H-M 'P m -3 m'
_symmetry_Int_Tables_number 221
_symmetry_space_group_name_Hall '-P 4 2 3'
_cell_length_a 4.100
_cell_length_b 4.100
_cell_length_c 4.100
_cell_angle_alpha 90.00
_cell_angle_beta 90.00
_cell_angle_gamma 90.00
loop_
_atom_site_label
_atom_site_type_symbol
_atom_site_fract_x
_atom_site_fract_y
_atom_site_fract_z
Mn1 Mn 0.000 0.000 0.500
Re1 Re 0.500 0.500 0.500
Ni1 Ni 0.000 0.000 0.000
```

Summary:
For the total magnetization, the calculation gives 0.0 μB per formula unit. As for the crystal system: cubic. As for the distance to the lowest polymorph of the same formula: 73.6 meV per atom. As for the energy: -37.8 eV/f.u.

=====

# 3
# AlCr4CuS8

A relaxed structure of AlCr4CuS8 (PBE-GGA, Alexandria).

The structure in CIF format:
```
data_AlCr4CuS8
_symmetry_space_group_name_H-M 'F -4 3 m'
_symmetry_Int_Tables_number 216
_symmetry_space_group_name_Hall 'F -4 2 3'
_cell_length_a 9.962
_cell_length_b 9.962
_cell_length_c 9.962
_cell_angle_alpha 90.00
_cell_angle_beta 90.00
_cell_angle_gamma 90.00
loop_
_atom_site_label
_atom_site_type_symbol
_atom_site_fract_x
_atom_site_fract_y
_atom_site_fract_z
Al1 Al 0.000 0.000 0.000
Cr1 Cr 0.121 0.121 0.621
Cu1 Cu 0.250 0.250 0.250
S1 S 0.116 0.116 0.384
S2 S 0.133 0.133 0.867
```

Summary:
For the total magnetization, the calculation gives 12.0 μB per formula unit. As for the crystal system: cubic. As for the energy: -90.0 eV/f.u. The uncorrected formation energy is -0.759 eV per atom.

=====

# 4
# AlSI

A relaxed structure of AlSI (PBE-GGA, Alexandria).

The structure in CIF format:
```
data_AlSI
_symmetry_space_group_name_H-M 'C 1 m 1'
_symmetry_Int_Tables_number 8
_cell_length_a 6.582
_cell_length_b 3.798
_cell_length_c 7.688
_cell_angle_alpha 90.00
_cell_angle_beta 100.40
_cell_angle_gamma 90.00
loop_
_symmetry_equiv_pos_as_xyz
'x,y,z'
'x,-y,z'
'x+1/2,y+1/2,z'
'x+1/2,-y+1/2,z'
loop_
_atom_site_label
_atom_site_type_symbol
_atom_site_fract_x
_atom_site_fract_y
_atom_site_fract_z
Al1 Al 0.000 0.000 0.000
S1 S 0.141 0.500 0.877
I1 I 0.067 0.000 0.326
```

Summary:
For the total magnetization, the calculation gives 0.0 μB per formula unit. As for the crystal system: monoclinic. As for the energy: -11.7 eV/f.u. The uncorrected formation energy is -0.764 eV per atom.

=====

# 5
# Nd2ScMnS6

A relaxed structure of Nd2ScMnS6 (PBE-GGA, Alexandria).

The structure in CIF format:
```
data_Nd2ScMnS6
_symmetry_space_group_name_H-M 'P 1 21/c 1'
_symmetry_Int_Tables_number 14
_cell_length_a 6.403
_cell_length_b 7.204
_cell_length_c 11.223
_cell_angle_alpha 90.00
_cell_angle_beta 124.37
_cell_angle_gamma 90.00
loop_
_symmetry_equiv_pos_as_xyz
'x,y,z'
'-x,-y,-z'
'-x,y+1/2,-z+1/2'
'x,-y+1/2,z+1/2'
loop_
_atom_site_label
_atom_site_type_symbol
_atom_site_fract_x
_atom_site_fract_y
_atom_site_fract_z
Nd1 Nd 0.208 0.106 0.248
Sc1 Sc 0.500 0.000 0.000
Mn1 Mn 0.000 0.000 0.500
S1 S 0.118 0.182 0.941
S2 S 0.259 0.677 0.946
S3 S 0.359 0.026 0.738
```

Summary:
For the total magnetization, the calculation gives 4.0 μB per formula unit. As for the crystal system: monoclinic. As for the energy: -66.2 eV/f.u. The uncorrected formation energy is -1.639 eV per atom.

=====

# 6
# NiPbCl2

A relaxed structure of NiPbCl2 (PBE-GGA, Alexandria).

The structure in CIF format:
```
data_NiPbCl2
_symmetry_space_group_name_H-M 'F m -3 m'
_symmetry_Int_Tables_number 225
_symmetry_space_group_name_Hall '-F 4 2 3'
_cell_length_a 6.997
_cell_length_b 6.997
_cell_length_c 6.997
_cell_angle_alpha 90.00
_cell_angle_beta 90.00
_cell_angle_gamma 90.00
loop_
_atom_site_label
_atom_site_type_symbol
_atom_site_fract_x
_atom_site_fract_y
_atom_site_fract_z
Ni1 Ni 0.000 0.000 0.000
Pb1 Pb 0.000 0.000 0.500
Cl1 Cl 0.250 0.250 0.250
```

Summary:
For the total magnetization, the calculation gives 0.2 μB per formula unit. As for the crystal system: cubic. As for the distance to the lowest polymorph of the same formula: 495.5 meV per atom. As for the energy: -13.1 eV/f.u. The uncorrected formation energy is 0.024 eV per atom.